! ZrTl2P, optimized geometry, DFT PBEsol; values from VASP
! Uncorrected energy in eV per atom: -5.022
&SYSTEM
  ibrav = 0, nat = 4, ntyp = 3
/
ATOMIC_SPECIES
Tl 204.38 Tl.upf
Zr 91.22 Zr.upf
P 30.97 P.upf
ATOMIC_POSITIONS angstrom
Tl -1.249 0.537 -0.286
Zr -3.482 0.214 2.124
P -0.987 -0.859 2.696
Tl -3.743 1.610 -0.857
CELL_PARAMETERS angstrom
-1.689 3.521 0.504
-3.302 -1.374 -1.647
-1.973 -1.719 5.391

***

! FeTe2Rh, optimized geometry, DFT PBEsol; values from VASP
! Uncorrected energy in eV per atom: -5.895
&SYSTEM
  ibrav = 0, nat = 4, ntyp = 3
/
ATOMIC_SPECIES
Rh 102.91 Rh.upf
Te 127.60 Te.upf
Fe 55.84 Fe.upf
ATOMIC_POSITIONS angstrom
Rh 1.556 -3.054 -2.887
Te 2.935 -5.484 -2.702
Fe 3.960 -3.002 -2.304
Te 2.009 -2.908 -0.182
CELL_PARAMETERS angstrom
-0.497 -2.394 2.264
-2.690 -1.708 -2.397
6.143 -1.398 -2.581

***

! BaSi2W, optimized geometry, DFT PBEsol; values from VASP
! E above lowest polymorph in meV/atom: 959
! Uncorrected energy in eV per atom: -5.769
&SYSTEM
  ibrav = 0, nat = 4, ntyp = 3
/
ATOMIC_SPECIES
Ba 137.33 Ba.upf
Si 28.09 Si.upf
W 183.84 W.upf
ATOMIC_POSITIONS angstrom
Ba 0.000 2.166 2.085
Si 2.166 0.000 2.085
W 2.166 2.166 0.000
Si 0.000 0.000 0.000
CELL_PARAMETERS angstrom
4.331 0.000 0.000
0.000 4.331 0.000
-2.166 -2.166 4.169

***

! BeZn2Hg, optimized geometry, DFT PBEsol; values from VASP
! E above lowest polymorph in meV/atom: 0
! Uncorrected energy in eV per atom: -1.734
&SYSTEM
  ibrav = 0, nat = 4, ntyp = 3
/
ATOMIC_SPECIES
Hg 200.59 Hg.upf
Be 9.01 Be.upf
Zn 65.41 Zn.upf
ATOMIC_POSITIONS angstrom
Hg -0.708 2.864 3.246
Be -1.504 1.230 -0.233
Zn 0.304 0.623 1.328
Zn 1.289 2.643 5.629
CELL_PARAMETERS angstrom
-0.317 2.517 -1.109
-2.692 -0.056 0.643
1.594 3.266 6.957

***

! Sc2InSb, optimized geometry, DFT PBEsol; values from VASP
! E above lowest polymorph in meV/atom: 25
! Uncorrected energy in eV per atom: -5.830
&SYSTEM
  ibrav = 0, nat = 4, ntyp = 3
/
ATOMIC_SPECIES
Sc 44.96 Sc.upf
In 114.82 In.upf
Sb 121.76 Sb.upf
ATOMIC_POSITIONS angstrom
Sc 4.048 0.233 3.109
In 1.061 -0.443 1.954
Sc -1.367 0.326 3.411
Sb 1.576 1.013 4.500
CELL_PARAMETERS angstrom
-1.395 3.512 1.553
-3.156 -2.053 1.807
4.579 0.278 3.484

***

! CeGa6Ni, optimized geometry, DFT PBEsol; values from VASP
! Uncorrected energy in eV per atom: -4.559
&SYSTEM
  ibrav = 0, nat = 8, ntyp = 3
/
ATOMIC_SPECIES
Ga 69.72 Ga.upf
Ni 58.69 Ni.upf
Ce 140.12 Ce.upf
ATOMIC_POSITIONS angstrom
Ga -2.868 0.002 1.716
Ga -3.994 1.265 5.912
Ga -4.204 1.437 3.386
Ni -2.018 2.166 2.523
Ce 0.000 0.000 0.000
Ga -0.396 0.479 3.284
Ga -1.732 1.913 4.954
Ga -1.170 -1.766 2.382
CELL_PARAMETERS angstrom
-3.036 -2.893 0.056
1.908 -1.940 3.192
-4.036 4.333 5.045

***

! NiOs, optimized geometry, DFT PBEsol; values from VASP
! Uncorrected energy in eV per atom: -9.088
&SYSTEM
  ibrav = 0, nat = 4, ntyp = 2
/
ATOMIC_SPECIES
Os 190.23 Os.upf
Ni 58.69 Ni.upf
ATOMIC_POSITIONS angstrom
Os 1.321 0.000 0.413
Os 0.000 2.097 4.051
Ni 1.321 2.097 1.896
Ni 0.000 0.000 2.567
CELL_PARAMETERS angstrom
2.642 0.000 0.000
0.000 4.193 0.000
0.000 0.000 4.463

***

! CaCoRe2, optimized geometry, DFT PBEsol; values from VASP
! E above lowest polymorph in meV/atom: 0
! Uncorrected energy in eV per atom: -8.481
&SYSTEM
  ibrav = 0, nat = 4, ntyp = 3
/
ATOMIC_SPECIES
Ca 40.08 Ca.upf
Co 58.93 Co.upf
Re 186.21 Re.upf
ATOMIC_POSITIONS angstrom
Ca 1.509 0.000 2.366
Co 0.000 2.159 2.366
Re 0.000 0.000 0.000
Re 1.509 2.159 0.000
CELL_PARAMETERS angstrom
3.018 0.000 0.000
0.000 4.319 0.000
0.000 0.000 4.732

***

! Ho2Al3Ge4, optimized geometry, DFT PBEsol; values from VASP
! Uncorrected energy in eV per atom: -5.125
&SYSTEM
  ibrav = 0, nat = 18, ntyp = 3
/
ATOMIC_SPECIES
Al 26.98 Al.upf
Ho 164.93 Ho.upf
Ge 72.64 Ge.upf
ATOMIC_POSITIONS angstrom
Al 2.923 3.936 0.000
Ho 0.000 3.318 1.668
Ho 2.923 0.618 1.668
Ge 0.000 4.353 4.593
Ge 1.461 1.968 6.633
Ge 4.384 5.903 0.637
Ge 2.923 7.454 4.593
Al -1.461 1.968 4.121
Al 4.384 5.903 3.149
Ge 1.461 5.903 0.637
Ho 0.000 7.253 5.602
Ho 2.923 4.554 5.602
Ge 0.000 0.417 2.677
Ge 2.923 3.518 2.677
Al 1.461 5.903 3.149
Ge -1.461 1.968 6.633
Al 1.461 1.968 4.121
Al 0.000 0.000 0.000
CELL_PARAMETERS angstrom
5.845 0.000 0.000
0.000 7.871 0.000
-2.923 0.000 7.270

***

! CuAg3S2, optimized geometry, DFT PBEsol; values from VASP
! Uncorrected energy in eV per atom: -3.882
&SYSTEM
  ibrav = 0, nat = 24, ntyp = 3
/
ATOMIC_SPECIES
Ag 107.87 Ag.upf
Cu 63.55 Cu.upf
S 32.06 S.upf
ATOMIC_POSITIONS angstrom
Ag -0.071 -1.711 6.323
Cu 1.184 -0.701 4.036
Ag -1.608 -0.801 3.891
Ag -4.286 4.290 2.442
S 4.415 -0.390 2.110
S 0.201 -0.119 2.203
Ag 2.607 1.430 2.062
Ag 1.466 0.885 6.323
Cu -1.327 0.785 6.178
Cu -5.541 3.280 4.729
Ag 2.036 5.884 0.914
S -4.558 2.698 6.562
Ag -4.286 0.784 4.873
Ag -2.179 6.016 1.104
S -1.820 3.580 2.489
Ag -2.749 3.380 4.873
S 2.395 -1.418 5.675
Ag -0.071 1.795 3.891
Ag -0.107 4.790 4.382
S -0.343 2.706 6.275
Ag -0.036 2.384 0.914
S 1.678 3.733 2.711
Cu -3.031 1.794 2.586
S -2.537 -1.001 6.275
CELL_PARAMETERS angstrom
8.429 -0.263 -0.379
-4.286 7.263 0.379
-4.286 -2.189 6.936

***

! BeSb2TePd, optimized geometry, DFT PBEsol; values from VASP
! Uncorrected energy in eV per atom: -3.689
&SYSTEM
  ibrav = 0, nat = 5, ntyp = 4
/
ATOMIC_SPECIES
Be 9.01 Be.upf
Pd 106.42 Pd.upf
Sb 121.76 Sb.upf
Te 127.60 Te.upf
ATOMIC_POSITIONS angstrom
Be 2.539 2.539 2.665
Pd 0.000 0.000 0.000
Sb 0.000 2.539 0.000
Sb 2.539 0.000 0.000
Te 0.000 0.000 2.665
CELL_PARAMETERS angstrom
5.079 0.000 0.000
0.000 5.079 0.000
0.000 0.000 5.330

***

! NaTi3Fe, optimized geometry, DFT PBEsol; values from VASP
! Uncorrected energy in eV per atom: -6.586
&SYSTEM
  ibrav = 0, nat = 5, ntyp = 3
/
ATOMIC_SPECIES
Fe 55.84 Fe.upf
Ti 47.87 Ti.upf
Na 22.99 Na.upf
ATOMIC_POSITIONS angstrom
Fe 0.000 0.000 0.000
Ti -0.637 -0.355 -2.156
Ti -0.867 -2.021 0.589
Na -3.510 -1.390 -1.137
Ti -2.006 0.986 0.431
CELL_PARAMETERS angstrom
-1.275 -0.710 -4.313
-1.733 -4.042 1.178
-4.012 1.971 0.861

***

Q: uncorrected energy of number 3 (BaSi2W)?
A: -5.769 eV per atom

***

What did the sixth record say?
! CeGa6Ni, optimized geometry, DFT PBEsol; values from VASP
! Uncorrected energy in eV per atom: -4.559
&SYSTEM
  ibrav = 0, nat = 8, ntyp = 3
/
ATOMIC_SPECIES
Ga 69.72 Ga.upf
Ni 58.69 Ni.upf
Ce 140.12 Ce.upf
ATOMIC_POSITIONS angstrom
Ga -2.868 0.002 1.716
Ga -3.994 1.265 5.912
Ga -4.204 1.437 3.386
Ni -2.018 2.166 2.523
Ce 0.000 0.000 0.000
Ga -0.396 0.479 3.284
Ga -1.732 1.913 4.954
Ga -1.170 -1.766 2.382
CELL_PARAMETERS angstrom
-3.036 -2.893 0.056
1.908 -1.940 3.192
-4.036 4.333 5.045

***

Q: uncorrected energy of number 9 (Ho2Al3Ge4)?
A: -5.125 eV per atom

***

Q: Which value of uncorrected energy does entry 6 give?
A: -4.559 eV per atom